# Re3BC

An optimized crystal structure of Re3BC (PBE, Alexandria via LeMat-Bulk).

Volume, Å³ per atom: 12.80
Uncorrected energy, eV per atom: -9.6100
E_form, kJ/mol of formula units: 501
DOS at the Fermi energy, states/eV/atom: 0.321
Space group: Pm-3m
Relative energy among the computed polymorphs, meV per atom: 0

The structure in CIF format:
```
data_Re3BC
_chemical_formula_sum 'Re3 B1 C1'
_cell_length_a 3.9996
_cell_length_b 3.9996
_cell_length_c 3.9996
_cell_angle_alpha 90.00
_cell_angle_beta 90.00
_cell_angle_gamma 90.00
_symmetry_space_group_name_H-M 'P 1'
_symmetry_Int_Tables_number 1
_symmetry_space_group_name_Hall 'P 1'
loop_
_atom_site_label
_atom_site_fract_x
_atom_site_fract_y
_atom_site_fract_z
C1 0.0000 0.0000 0.0000
Re1 0.0000 0.5000 0.0000
B1 0.5000 0.5000 0.5000
Re2 0.5000 0.0000 0.0000
Re3 0.0000 0.0000 0.5000
```

# NaCd2Si

An optimized crystal structure of NaCd2Si (PBE, Alexandria via LeMat-Bulk).

Volume, Å³ per atom: 25.38
Uncorrected energy, eV per atom: -1.8410
DOS at the Fermi energy, states/eV/atom: 0.502
Space group: I-42d
Relative energy among the computed polymorphs, meV per atom: 131

The structure in CIF format:
```
data_NaCd2Si
_chemical_formula_sum 'Na2 Cd4 Si2'
_cell_length_a 4.7019
_cell_length_b 4.7019
_cell_length_c 9.7671
_cell_angle_alpha 76.07
_cell_angle_beta 76.07
_cell_angle_gamma 90.00
_symmetry_space_group_name_H-M 'P 1'
_symmetry_Int_Tables_number 1
_symmetry_space_group_name_Hall 'P 1'
loop_
_atom_site_label
_atom_site_fract_x
_atom_site_fract_y
_atom_site_fract_z
Na1 0.2500 0.7500 0.5000
Si1 0.0000 0.0000 0.0000
Cd1 0.6830 0.1250 0.2500
Cd2 0.3750 0.3170 0.7500
Cd3 0.0670 0.6250 0.2500
Cd4 0.8750 0.9330 0.7500
Na2 0.5000 0.5000 0.0000
Si2 0.7500 0.2500 0.5000
```

# Ca2La2BRh4

An optimized crystal structure of Ca2La2BRh4 (PBE, Alexandria via LeMat-Bulk).

Volume, Å³ per atom: 20.60
Uncorrected energy, eV per atom: -6.0233
E_form, kJ/mol of formula units: -412
DOS at the Fermi energy, states/eV/atom: 0.625
Space group: I4/mmm

The structure in CIF format:
```
data_Ca2La2BRh4
_chemical_formula_sum 'Ca2 La2 B1 Rh4'
_cell_length_a 6.2805
_cell_length_b 6.2805
_cell_length_c 6.2805
_cell_angle_alpha 98.31
_cell_angle_beta 115.32
_cell_angle_gamma 115.32
_symmetry_space_group_name_H-M 'P 1'
_symmetry_Int_Tables_number 1
_symmetry_space_group_name_Hall 'P 1'
loop_
_atom_site_label
_atom_site_fract_x
_atom_site_fract_y
_atom_site_fract_z
Rh1 0.0000 0.2194 0.7806
La1 0.5000 0.7500 0.2500
Ca1 0.0000 0.3088 0.3088
Rh2 0.0000 0.7806 0.2194
Rh3 0.4388 0.2194 0.2194
B1 0.0000 0.0000 0.0000
Ca2 0.0000 0.6912 0.6912
La2 0.5000 0.2500 0.7500
Rh4 0.5612 0.7806 0.7806
```

# CaGeBiO6

An optimized crystal structure of CaGeBiO6 (PBE, Alexandria via LeMat-Bulk).

Volume, Å³ per atom: 13.80
Uncorrected energy, eV per atom: -5.9410
DOS at the Fermi energy, states/eV/atom: 0.638
Space group: P-31c

The structure in CIF format:
```
data_CaGeBiO6
_chemical_formula_sum 'Ca2 Ge2 Bi2 O12'
_cell_length_a 5.3634
_cell_length_b 5.3634
_cell_length_c 9.9694
_cell_angle_alpha 90.00
_cell_angle_beta 90.00
_cell_angle_gamma 120.00
_symmetry_space_group_name_H-M 'P 1'
_symmetry_Int_Tables_number 1
_symmetry_space_group_name_Hall 'P 1'
loop_
_atom_site_label
_atom_site_fract_x
_atom_site_fract_y
_atom_site_fract_z
O1 0.3470 0.9688 0.6400
Ca1 0.0000 0.0000 0.5000
O2 0.0312 0.3781 0.6400
O3 0.3470 0.3781 0.8600
Ge1 0.3333 0.6667 0.7500
Bi1 0.3333 0.6667 0.2500
O4 0.0312 0.6530 0.8600
Ca2 0.0000 0.0000 0.0000
Ge2 0.6667 0.3333 0.2500
O5 0.3781 0.3470 0.3600
Bi2 0.6667 0.3333 0.7500
O6 0.6219 0.6530 0.6400
O7 0.9688 0.6219 0.3600
O8 0.6530 0.6219 0.1400
O9 0.9688 0.3470 0.1400
O10 0.6530 0.0312 0.3600
O11 0.6219 0.9688 0.8600
O12 0.3781 0.0312 0.1400
```